Record 1
A plane-wave DFT calculation with GGA-PBE was carried out for crystalline YSn2Pd7 at its relaxed geometry.

Unit cell a=7.6351 b=7.6351 c=4.4981 alpha=90.00 beta=90.00 gamma=122.23
With the nearest neighbours (Å) after each atom.
Fractional coordinates of all 10 atoms:
Y 0.0000 0.0000 0.0000  10 Pd 2.74-3.00
Sn 0.3014 0.6986 0.5000  5 Pd 2.59-2.66
Sn 0.6986 0.3014 0.5000  5 Pd 2.59-2.66
Pd 0.0732 0.2908 0.5000  2 Sn 2.64-2.90, 5 Pd 2.68-2.92
Pd 0.2052 0.7948 0.0000  2 Sn 2.59, 1 Y 2.74
Pd 0.2908 0.0732 0.5000  2 Sn 2.64-2.90, 5 Pd 2.68-2.92
Pd 0.5000 0.5000 0.5000  2 Sn 2.66, 4 Pd 2.76
Pd 0.7092 0.9268 0.5000  2 Sn 2.64-2.90, 5 Pd 2.68-2.92
Pd 0.7948 0.2052 0.0000  2 Sn 2.59, 1 Y 2.74
Pd 0.9268 0.7092 0.5000  2 Sn 2.64-2.90, 5 Pd 2.68-2.92

Summary:
Its density of states at the Fermi level is 0.30 states/eV per atom. The mass density is 8.0 g cm⁻³. For the formation energy, the calculation gives -0.260 eV per atom. For the volume, the calculation gives 22.18 Å³/atom. The total magnetization is 0.00 μB per formula unit. As for the energy above the most stable polymorph in this dataset: 3.31 eV per formula unit. The total energy is -5.34 eV/atom.

Record 2
A plane-wave DFT calculation with GGA-PBE was carried out for crystalline Y2SnPd at its relaxed geometry.

Unit cell a=6.0861 b=6.0861 c=15.3341 alpha=90.00 beta=90.00 gamma=90.00
With the nearest neighbours (Å) after each atom.
Fractional coordinates of all 16 atoms:
Y 0.2172 0.2500 0.1250  2 Pd 2.78, 2 Sn 2.99
Y 0.2500 0.7172 0.3750  2 Pd 2.78, 2 Sn 2.99
Y 0.2500 0.7828 0.8750  2 Pd 2.78, 2 Sn 2.99
Y 0.2828 0.2500 0.6250  2 Pd 2.78, 2 Sn 2.99
Y 0.7172 0.7500 0.6250  2 Pd 2.78, 2 Sn 2.99
Y 0.7500 0.2172 0.8750  2 Pd 2.78, 2 Sn 2.99
Y 0.7500 0.2828 0.3750  2 Pd 2.78, 2 Sn 2.99
Y 0.7828 0.7500 0.1250  2 Pd 2.78, 2 Sn 2.99
Sn 0.0000 0.0000 0.5000  4 Y 2.99
Sn 0.0000 0.5000 0.7500  4 Y 2.99
Sn 0.5000 0.0000 0.2500  4 Y 2.99
Sn 0.5000 0.5000 0.0000  4 Y 2.99
Pd 0.0000 0.0000 0.0000  4 Y 2.78
Pd 0.0000 0.5000 0.2500  4 Y 2.78
Pd 0.5000 0.0000 0.7500  4 Y 2.78
Pd 0.5000 0.5000 0.5000  4 Y 2.78

Summary:
Its density of states at the Fermi level is 0.13 states/eV per atom. The mass density is 4.7 g cm⁻³. For the formation energy, the calculation gives -0.018 eV per atom. For the volume, the calculation gives 35.50 Å³/atom. The total magnetization is 0.00 μB per formula unit. The total energy is -5.55 eV/atom.

Record 3
A plane-wave DFT calculation with GGA-PBE was carried out for crystalline YSn2Pd7 at its relaxed geometry.

Unit cell a=11.5364 b=11.5364 c=11.5364 alpha=159.44 beta=159.44 gamma=29.24
With the nearest neighbours (Å) after each atom.
Fractional coordinates of all 10 atoms:
Y 0.0000 0.0000 0.0000  12 Pd 2.91-2.93
Sn 0.3289 0.3289 0.0000  8 Pd 2.69-2.71
Sn 0.6711 0.6711 0.0000  8 Pd 2.69-2.71
Pd 0.0935 0.5935 0.5000  2 Sn 2.69, 6 Pd 2.91-2.93, 2 Y 2.93
Pd 0.2500 0.7500 0.5000  4 Sn 2.71, 4 Pd 2.91
Pd 0.4065 0.9065 0.5000  2 Sn 2.69, 6 Pd 2.91-2.93, 2 Y 2.93
Pd 0.5000 0.5000 0.0000  4 Y 2.91, 8 Pd 2.93
Pd 0.5935 0.0935 0.5000  2 Sn 2.69, 6 Pd 2.91-2.93, 2 Y 2.93
Pd 0.7500 0.2500 0.5000  4 Sn 2.71, 4 Pd 2.91
Pd 0.9065 0.4065 0.5000  2 Sn 2.69, 6 Pd 2.91-2.93, 2 Y 2.93

Summary:
Its density of states at the Fermi level is 0.33 states/eV per atom. The mass density is 9.4 g cm⁻³. For the formation energy, the calculation gives -0.591 eV per atom. For the volume, the calculation gives 18.92 Å³/atom. The total magnetization is 0.00 μB per formula unit. As for the energy above the most stable polymorph in this dataset: 0.00 eV per formula unit. The total energy is -5.67 eV/atom.